# ZrCo5Si3 PBEsol optimized geometry
# Formation energy from raw total energies = -6.31 eV per formula unit
# Fermi-level density of states = 5.22 states/eV/f.u.
data_ZrCo5Si3
_space_group_name_H-M_alt 'P 1'
_space_group_IT_number 1
_cell_length_a 14.335
_cell_length_b 14.335
_cell_length_c 3.592
_cell_angle_alpha 90.00
_cell_angle_beta 90.00
_cell_angle_gamma 120.00
loop_
_space_group_symop_operation_xyz
'x,y,z'
loop_
_atom_site_label
_atom_site_type_symbol
_atom_site_fract_x
_atom_site_fract_y
_atom_site_fract_z
Zr1 Zr 0.100 0.706 0.250
Zr2 Zr 0.294 0.394 0.250
Zr3 Zr 0.394 0.100 0.750
Zr4 Zr 0.606 0.900 0.250
Zr5 Zr 0.706 0.606 0.750
Zr6 Zr 0.900 0.294 0.750
Co1 Co 0.027 0.899 0.250
Co2 Co 0.049 0.268 0.250
Co3 Co 0.074 0.534 0.750
Co4 Co 0.101 0.128 0.250
Co5 Co 0.128 0.027 0.750
Co6 Co 0.149 0.413 0.750
Co7 Co 0.219 0.951 0.250
Co8 Co 0.224 0.571 0.250
Co9 Co 0.264 0.851 0.750
Co10 Co 0.268 0.219 0.750
Co11 Co 0.347 0.776 0.250
Co12 Co 0.413 0.264 0.250
Co13 Co 0.429 0.653 0.250
Co14 Co 0.460 0.926 0.750
Co15 Co 0.466 0.540 0.750
Co16 Co 0.534 0.460 0.250
Co17 Co 0.540 0.074 0.250
Co18 Co 0.571 0.347 0.750
Co19 Co 0.587 0.736 0.750
Co20 Co 0.653 0.224 0.750
Co21 Co 0.732 0.781 0.250
Co22 Co 0.736 0.149 0.250
Co23 Co 0.776 0.429 0.750
Co24 Co 0.781 0.049 0.750
Co25 Co 0.851 0.587 0.250
Co26 Co 0.872 0.973 0.250
Co27 Co 0.899 0.872 0.750
Co28 Co 0.926 0.466 0.250
Co29 Co 0.951 0.732 0.750
Co30 Co 0.973 0.101 0.750
Si1 Si 0.059 0.428 0.250
Si2 Si 0.116 0.866 0.750
Si3 Si 0.134 0.250 0.750
Si4 Si 0.237 0.682 0.750
Si5 Si 0.250 0.116 0.250
Si6 Si 0.318 0.555 0.750
Si7 Si 0.370 0.941 0.250
Si8 Si 0.428 0.370 0.750
Si9 Si 0.445 0.763 0.750
Si10 Si 0.555 0.237 0.250
Si11 Si 0.572 0.630 0.250
Si12 Si 0.630 0.059 0.750
Si13 Si 0.682 0.445 0.250
Si14 Si 0.750 0.884 0.750
Si15 Si 0.763 0.318 0.250
Si16 Si 0.866 0.750 0.250
Si17 Si 0.884 0.134 0.250
Si18 Si 0.941 0.572 0.750